Entry 1:
Below is an optimized crystal structure of GaSb2Pd2, with properties calculated at the PBE level.

Summary:
- Fermi-level density of states (states/eV/f.u.) = 3.730
- size of the total moment (μB per cell) = 0.000
- E above lowest polymorph (meV per atom) = 0
- space-group type = P4/mbm (127)
- E_form (uncorrected) (eV per atom) = -0.18

Lattice parameters (Å, degrees): 7.992 7.992 3.238 90.00 90.00 90.00
Sites, in units of the cell vectors:
Ga: 0.000 0.000 0.000
Ga: 0.500 0.500 0.000
Sb: 0.161 0.339 0.500
Sb: 0.339 0.839 0.500
Sb: 0.661 0.161 0.500
Sb: 0.839 0.661 0.500
Pd: 0.131 0.631 0.000
Pd: 0.369 0.131 0.000
Pd: 0.631 0.869 0.000
Pd: 0.869 0.369 0.000


Entry 2:
Below is an optimized crystal structure of GaSbPd, with properties calculated at the PBE level.

Summary:
- Fermi-level density of states (states/eV/f.u.) = 0.894
- size of the total moment (μB per cell) = 0.000
- E above lowest polymorph (meV per atom) = 6
- space-group type = C2/c (15)
- E_form (uncorrected) (eV per atom) = -0.36

Lattice parameters (Å, degrees): 4.430 4.430 6.498 90.05 90.05 90.01
Sites, in units of the cell vectors:
Ga: 0.000 0.000 0.250
Ga: 0.000 0.000 0.750
Sb: 0.500 0.500 0.250
Sb: 0.500 0.500 0.750
Pd: 0.000 0.500 0.000
Pd: 0.500 0.000 0.500


Entry 3:
Below is an optimized crystal structure of Ga3SbPd7, with properties calculated at the PBE level.

Summary:
- Fermi-level density of states (states/eV/f.u.) = 4.038
- size of the total moment (μB per cell) = 0.000
- space-group type = C2/m (12)
- E_form (uncorrected) (eV per atom) = -0.41

Lattice parameters (Å, degrees): 6.207 6.207 5.167 102.93 102.93 97.74
Sites, in units of the cell vectors:
Ga: 0.000 0.000 0.000
Ga: 0.228 0.772 0.500
Ga: 0.772 0.228 0.500
Sb: 0.500 0.500 0.000
Pd: 0.018 0.606 0.794
Pd: 0.181 0.181 0.654
Pd: 0.394 0.982 0.206
Pd: 0.500 0.500 0.500
Pd: 0.606 0.018 0.794
Pd: 0.819 0.819 0.346
Pd: 0.982 0.394 0.206


Entry 4:
Below is an optimized crystal structure of Ga4SbPd7, with properties calculated at the PBE level.

Summary:
- Fermi-level density of states (states/eV/f.u.) = 4.444
- size of the total moment (μB per cell) = 0.000
- space-group type = C2/m (12)
- E_form (uncorrected) (eV per atom) = -0.36

Lattice parameters (Å, degrees): 5.943 5.943 9.082 117.47 117.47 48.67
Sites, in units of the cell vectors:
Ga: 0.086 0.086 0.272
Ga: 0.246 0.246 0.837
Ga: 0.754 0.754 0.163
Ga: 0.914 0.914 0.728
Sb: 0.500 0.500 0.500
Pd: 0.000 0.000 0.500
Pd: 0.140 0.140 0.033
Pd: 0.288 0.288 0.591
Pd: 0.431 0.431 0.162
Pd: 0.569 0.569 0.838
Pd: 0.712 0.712 0.409
Pd: 0.860 0.860 0.967


Entry 5:
Below is an optimized crystal structure of GaSb2Pd8, with properties calculated at the PBE level.

Summary:
- Fermi-level density of states (states/eV/f.u.) = 2.147
- size of the total moment (μB per cell) = 0.000
- E above lowest polymorph (meV per atom) = 0
- space-group type = Immm (71)
- E_form (uncorrected) (eV per atom) = -0.45

Lattice parameters (Å, degrees): 7.342 7.342 7.342 147.47 118.15 71.65
Sites, in units of the cell vectors:
Ga: 0.000 0.000 0.000
Sb: 0.315 0.315 0.000
Sb: 0.685 0.685 0.000
Pd: 0.105 0.838 0.266
Pd: 0.134 0.634 0.500
Pd: 0.303 0.500 0.803
Pd: 0.428 0.162 0.266
Pd: 0.572 0.838 0.734
Pd: 0.697 0.500 0.197
Pd: 0.866 0.366 0.500
Pd: 0.895 0.162 0.734


Entry 6:
Below is an optimized crystal structure of GaSb2Pd2, with properties calculated at the PBE level.

Summary:
- Fermi-level density of states (states/eV/f.u.) = 2.325
- size of the total moment (μB per cell) = 0.000
- E above lowest polymorph (meV per atom) = 111
- space-group type = I4/mmm (139)
- E_form (uncorrected) (eV per atom) = -0.07

Lattice parameters (Å, degrees): 6.050 6.050 6.050 132.53 132.53 69.39
Sites, in units of the cell vectors:
Ga: 0.000 0.000 0.000
Sb: 0.250 0.750 0.500
Sb: 0.750 0.250 0.500
Pd: 0.366 0.366 0.000
Pd: 0.634 0.634 0.000


Entry 7:
Below is an optimized crystal structure of GaSb2Pd2, with properties calculated at the PBE level.

Summary:
- Fermi-level density of states (states/eV/f.u.) = 2.155
- size of the total moment (μB per cell) = 0.000
- E above lowest polymorph (meV per atom) = 16
- space-group type = I4/mmm (139)
- E_form (uncorrected) (eV per atom) = -0.16

Lattice parameters (Å, degrees): 6.745 6.745 6.745 141.86 141.86 55.03
Sites, in units of the cell vectors:
Ga: 0.000 0.000 0.000
Sb: 0.375 0.375 0.000
Sb: 0.625 0.625 0.000
Pd: 0.250 0.750 0.500
Pd: 0.750 0.250 0.500


Entry 8:
Below is an optimized crystal structure of GaSbPd6, with properties calculated at the PBE level.

Summary:
- Fermi-level density of states (states/eV/f.u.) = 2.882
- size of the total moment (μB per cell) = 0.000
- E above lowest polymorph (meV per atom) = 0
- space-group type = P4/mmm (123)
- E_form (uncorrected) (eV per atom) = -0.45

Lattice parameters (Å, degrees): 3.993 3.993 7.950 90.00 90.00 90.00
Sites, in units of the cell vectors:
Ga: 0.000 0.000 0.000
Sb: 0.000 0.000 0.500
Pd: 0.000 0.500 0.243
Pd: 0.000 0.500 0.757
Pd: 0.500 0.000 0.243
Pd: 0.500 0.000 0.757
Pd: 0.500 0.500 0.000
Pd: 0.500 0.500 0.500


Entry 9:
Below is an optimized crystal structure of GaSbPd2, with properties calculated at the PBE level.

Summary:
- Fermi-level density of states (states/eV/f.u.) = 1.411
- size of the total moment (μB per cell) = 0.000
- E above lowest polymorph (meV per atom) = 120
- space-group type = R3m (160)
- E_form (uncorrected) (eV per atom) = -0.40

Lattice parameters (Å, degrees): 7.252 7.252 7.252 28.22 28.22 28.22
Sites, in units of the cell vectors:
Ga: 0.000 0.000 0.000
Sb: 0.833 0.833 0.833
Pd: 0.261 0.261 0.261
Pd: 0.405 0.405 0.405


Entry 10:
Below is an optimized crystal structure of Ga3SbPd12, with properties calculated at the PBE level.

Summary:
- Fermi-level density of states (states/eV/f.u.) = 13.260
- size of the total moment (μB per cell) = 0.000
- space-group type = P4/mmm (123)
- E_form (uncorrected) (eV per atom) = -0.44

Lattice parameters (Å, degrees): 3.963 3.963 15.772 90.00 90.00 90.00
Sites, in units of the cell vectors:
Ga: 0.000 0.000 0.000
Ga: 0.000 0.000 0.242
Ga: 0.000 0.000 0.758
Sb: 0.000 0.000 0.500
Pd: 0.000 0.500 0.123
Pd: 0.000 0.500 0.369
Pd: 0.000 0.500 0.631
Pd: 0.000 0.500 0.877
Pd: 0.500 0.000 0.123
Pd: 0.500 0.000 0.369
Pd: 0.500 0.000 0.631
Pd: 0.500 0.000 0.877
Pd: 0.500 0.500 0.000
Pd: 0.500 0.500 0.247
Pd: 0.500 0.500 0.500
Pd: 0.500 0.500 0.753


Entry 11:
Below is an optimized crystal structure of Ga2SbPd8, with properties calculated at the PBE level.

Summary:
- Fermi-level density of states (states/eV/f.u.) = 4.092
- size of the total moment (μB per cell) = 0.000
- E above lowest polymorph (meV per atom) = 22
- space-group type = P1 (1)
- E_form (uncorrected) (eV per atom) = -0.46

Lattice parameters (Å, degrees): 4.340 6.214 7.566 114.15 106.58 90.10
Sites, in units of the cell vectors:
Ga: 0.000 0.000 0.000
Ga: 0.326 0.326 0.651
Sb: 0.662 0.676 0.325
Pd: 0.042 0.635 0.084
Pd: 0.161 0.377 0.325
Pd: 0.282 0.876 0.565
Pd: 0.455 0.759 0.910
Pd: 0.503 0.263 0.007
Pd: 0.660 0.095 0.325
Pd: 0.822 0.581 0.643
Pd: 0.870 0.173 0.740


Entry 12:
Below is an optimized crystal structure of Ga2SbPd8, with properties calculated at the PBE level.

Summary:
- Fermi-level density of states (states/eV/f.u.) = 4.998
- size of the total moment (μB per cell) = 0.000
- E above lowest polymorph (meV per atom) = 0
- space-group type = C2/m (12)
- E_form (uncorrected) (eV per atom) = -0.48

Lattice parameters (Å, degrees): 7.447 7.447 6.264 108.29 108.29 32.15
Sites, in units of the cell vectors:
Ga: 0.199 0.199 0.174
Ga: 0.801 0.801 0.826
Sb: 0.500 0.500 0.500
Pd: 0.033 0.033 0.249
Pd: 0.177 0.177 0.759
Pd: 0.326 0.326 0.560
Pd: 0.402 0.402 0.032
Pd: 0.598 0.598 0.968
Pd: 0.674 0.674 0.440
Pd: 0.823 0.823 0.241
Pd: 0.967 0.967 0.751


Entry 13:
Below is an optimized crystal structure of GaSbPd3, with properties calculated at the PBE level.

Summary:
- Fermi-level density of states (states/eV/f.u.) = 1.978
- size of the total moment (μB per cell) = 0.000
- E above lowest polymorph (meV per atom) = 0
- space-group type = P2_1/m (11)
- E_form (uncorrected) (eV per atom) = -0.46

Lattice parameters (Å, degrees): 6.393 3.855 7.762 90.00 110.18 90.00
Sites, in units of the cell vectors:
Ga: 0.159 0.250 0.139
Ga: 0.841 0.750 0.861
Sb: 0.319 0.250 0.709
Sb: 0.681 0.750 0.291
Pd: 0.025 0.750 0.631
Pd: 0.307 0.750 0.998
Pd: 0.324 0.750 0.389
Pd: 0.676 0.250 0.611
Pd: 0.693 0.250 0.002
Pd: 0.975 0.250 0.369


Entry 14:
Below is an optimized crystal structure of GaSb3Pd, with properties calculated at the PBE level.

Summary:
- Fermi-level density of states (states/eV/f.u.) = 2.860
- size of the total moment (μB per cell) = 0.000
- E above lowest polymorph (meV per atom) = 388
- space-group type = Pm-3m (221)
- E_form (uncorrected) (eV per atom) = 0.77

Lattice parameters (Å, degrees): 5.218 5.218 5.218 90.00 90.00 90.00
Sites, in units of the cell vectors:
Ga: 0.000 0.000 0.000
Sb: 0.000 0.000 0.500
Sb: 0.000 0.500 0.000
Sb: 0.500 0.000 0.000
Pd: 0.500 0.500 0.500


Entry 15:
Below is an optimized crystal structure of GaSb3Pd, with properties calculated at the PBE level.

Summary:
- Fermi-level density of states (states/eV/f.u.) = 7.169
- size of the total moment (μB per cell) = 0.000
- E above lowest polymorph (meV per atom) = 0
- space-group type = Pm-3m (221)
- E_form (uncorrected) (eV per atom) = 0.38

Lattice parameters (Å, degrees): 5.282 5.282 5.282 90.00 90.00 90.00
Sites, in units of the cell vectors:
Ga: 0.000 0.000 0.000
Sb: 0.000 0.500 0.500
Sb: 0.500 0.000 0.500
Sb: 0.500 0.500 0.000
Pd: 0.500 0.500 0.500


Entry 16:
Below is an optimized crystal structure of GaSbPd3, with properties calculated at the PBE level.

Summary:
- Fermi-level density of states (states/eV/f.u.) = 2.198
- size of the total moment (μB per cell) = 0.000
- E above lowest polymorph (meV per atom) = 510
- space-group type = Pm-3m (221)
- E_form (uncorrected) (eV per atom) = 0.05

Lattice parameters (Å, degrees): 4.659 4.659 4.659 90.00 90.00 90.00
Sites, in units of the cell vectors:
Ga: 0.000 0.000 0.000
Sb: 0.500 0.500 0.500
Pd: 0.000 0.000 0.500
Pd: 0.000 0.500 0.000
Pd: 0.500 0.000 0.000


Entry 17:
Below is an optimized crystal structure of Ga2SbPd2, with properties calculated at the PBE level.

Summary:
- Fermi-level density of states (states/eV/f.u.) = 2.197
- size of the total moment (μB per cell) = 0.000
- E above lowest polymorph (meV per atom) = 0
- space-group type = P4/mbm (127)
- E_form (uncorrected) (eV per atom) = -0.38

Lattice parameters (Å, degrees): 7.646 7.646 3.005 90.00 90.00 90.00
Sites, in units of the cell vectors:
Ga: 0.146 0.354 0.000
Ga: 0.354 0.854 0.000
Ga: 0.646 0.146 0.000
Ga: 0.854 0.646 0.000
Sb: 0.000 0.000 0.500
Sb: 0.500 0.500 0.500
Pd: 0.148 0.648 0.500
Pd: 0.352 0.148 0.500
Pd: 0.648 0.852 0.500
Pd: 0.852 0.352 0.500


Entry 18:
Below is an optimized crystal structure of Ga3Sb2Pd8, with properties calculated at the PBE level.

Summary:
- Fermi-level density of states (states/eV/f.u.) = 5.465
- size of the total moment (μB per cell) = 0.000
- space-group type = C2/m (12)
- E_form (uncorrected) (eV per atom) = -0.29

Lattice parameters (Å, degrees): 6.546 6.546 7.054 112.14 112.14 79.46
Sites, in units of the cell vectors:
Ga: 0.000 0.000 0.000
Ga: 0.257 0.743 0.500
Ga: 0.743 0.257 0.500
Sb: 0.283 0.283 0.870
Sb: 0.717 0.717 0.130
Pd: 0.109 0.109 0.421
Pd: 0.142 0.671 0.103
Pd: 0.329 0.858 0.897
Pd: 0.432 0.432 0.644
Pd: 0.568 0.568 0.356
Pd: 0.671 0.142 0.103
Pd: 0.858 0.329 0.897
Pd: 0.891 0.891 0.579


Entry 19:
Below is an optimized crystal structure of GaSbPd2, with properties calculated at the PBE level.

Summary:
- Fermi-level density of states (states/eV/f.u.) = 1.515
- size of the total moment (μB per cell) = 0.000
- E above lowest polymorph (meV per atom) = 145
- space-group type = R-3m (166)
- E_form (uncorrected) (eV per atom) = -0.37

Lattice parameters (Å, degrees): 5.088 5.088 5.088 50.68 50.68 50.68
Sites, in units of the cell vectors:
Ga: 0.000 0.000 0.000
Sb: 0.500 0.500 0.500
Pd: 0.273 0.273 0.273
Pd: 0.727 0.727 0.727


Entry 20:
Below is an optimized crystal structure of Ga2Sb2Pd7, with properties calculated at the PBE level.

Summary:
- Fermi-level density of states (states/eV/f.u.) = 3.342
- size of the total moment (μB per cell) = 0.000
- space-group type = C2/m (12)
- E_form (uncorrected) (eV per atom) = -0.40

Lattice parameters (Å, degrees): 6.020 6.020 5.626 97.08 97.08 81.45
Sites, in units of the cell vectors:
Ga: 0.233 0.233 0.081
Ga: 0.767 0.767 0.919
Sb: 0.301 0.699 0.500
Sb: 0.699 0.301 0.500
Pd: 0.000 0.000 0.254
Pd: 0.000 0.000 0.746
Pd: 0.064 0.477 0.749
Pd: 0.477 0.064 0.749
Pd: 0.500 0.500 0.000
Pd: 0.523 0.936 0.251
Pd: 0.936 0.523 0.251